Compound: TaNb2Bi
Source: Alexandria
Functional: PBE
Structure: optimized geometry

Geometry as POSCAR:
```
TaNb2Bi
1.0
3.575 0.000 0.000
0.000 3.575 0.000
0.000 0.000 6.268
Ta Nb Bi
1 2 1
Direct
0.000 0.000 0.000
0.500 0.500 0.228
0.500 0.500 0.772
0.000 0.000 0.500
```



Compound: TaNbBi2
Source: Alexandria
Functional: PBE
Structure: optimized geometry

Values from the calculation:
The energy above the lowest structure with this stoichiometry comes out at 557 meV/atom.

Geometry as POSCAR:
```
TaNbBi2
1.0
-4.026 4.026 3.085
4.026 -4.026 3.085
4.026 4.026 -3.085
Ta Nb Bi
2 2 4
Direct
0.000 0.000 0.000
0.750 0.250 0.500
0.250 0.750 0.500
0.500 0.500 0.000
0.122 0.625 0.997
0.375 0.372 0.497
0.628 0.125 0.003
0.875 0.878 0.503
```



Compound: TaNbBi
Source: Alexandria
Functional: PBE
Structure: optimized geometry

Values from the calculation:
The energy above the lowest structure with this stoichiometry comes out at 0 meV/atom.

Geometry as POSCAR:
```
TaNbBi
1.0
1.502 -11.239 0.000
1.502 11.239 0.000
0.000 0.000 4.235
Ta Nb Bi
2 2 2
Direct
0.036 0.964 0.750
0.964 0.036 0.250
0.404 0.596 0.750
0.596 0.404 0.250
0.178 0.822 0.750
0.822 0.178 0.250
```



Compound: TbNbBi2
Source: Alexandria
Functional: PBE
Structure: optimized geometry

Geometry as POSCAR:
```
TbNbBi2
1.0
1.773 1.023 10.647
-1.773 1.023 10.647
0.000 -2.047 10.647
Tb Nb Bi
1 1 2
Direct
0.000 0.000 0.000
0.500 0.500 0.500
0.100 0.100 0.100
0.900 0.900 0.900
```



Compound: NbTcBi3
Source: Alexandria
Functional: PBE
Structure: optimized geometry

Values from the calculation:
The energy above the lowest structure with this stoichiometry comes out at 0 meV/atom.

Geometry as POSCAR:
```
NbTcBi3
1.0
5.297 0.000 0.000
0.000 5.297 0.000
0.000 0.000 5.297
Nb Tc Bi
1 1 3
Direct
0.000 0.000 0.000
0.500 0.500 0.500
0.000 0.500 0.500
0.500 0.000 0.500
0.500 0.500 0.000
```



Compound: NbTc3Bi
Source: Alexandria
Functional: PBE
Structure: optimized geometry

Values from the calculation:
The energy above the lowest structure with this stoichiometry comes out at 0 meV/atom.

Geometry as POSCAR:
```
NbTc3Bi
1.0
4.803 0.000 0.000
0.000 4.803 0.000
0.000 0.000 4.803
Nb Tc Bi
1 3 1
Direct
0.000 0.000 0.000
0.000 0.000 0.500
0.000 0.500 0.000
0.500 0.000 0.000
0.500 0.500 0.500
```



Compound: NbTc3Bi
Source: Alexandria
Functional: PBE
Structure: optimized geometry

Values from the calculation:
The energy above the lowest structure with this stoichiometry comes out at 788 meV/atom.

Geometry as POSCAR:
```
NbTc3Bi
1.0
4.849 0.000 0.000
0.000 4.849 0.000
0.000 0.000 4.849
Nb Tc Bi
1 3 1
Direct
0.000 0.000 0.000
0.000 0.500 0.500
0.500 0.000 0.500
0.500 0.500 0.000
0.500 0.500 0.500
```



Compound: Nb3TcBi
Source: Alexandria
Functional: PBE
Structure: optimized geometry

Values from the calculation:
The energy above the lowest structure with this stoichiometry comes out at 0 meV/atom.

Geometry as POSCAR:
```
Nb3TcBi
1.0
4.873 0.000 0.000
0.000 4.873 0.000
0.000 0.000 4.873
Nb Tc Bi
3 1 1
Direct
0.000 0.000 0.500
0.000 0.500 0.000
0.500 0.000 0.000
0.000 0.000 0.000
0.500 0.500 0.500
```



no.,total DFT energy (no corrections) (eV per atom),size of the total moment (μB per formula unit),density of states at the Fermi level (states/eV per cell)
1,-8.84,0.0,3.2
2,-6.42,0.8,10.6
3,-8.33,0.0,4.5
4,-5.47,0.0,3.4
5,-5.29,3.7,4.9
6,-7.47,2.8,7.1
7,-6.68,0.0,5.0
8,-8.04,0.0,6.1